# ZnHF

A geometry-optimized ZnHF structure (PBE, Alexandria via LeMat-Bulk).

Results
**Energy above the most stable polymorph in this dataset**: 17.39 kJ per mole of atoms

a b c (Å): 2.572 2.572 7.720
angles (deg): 89.10 88.52 61.39
Fractional positions:
Zn  0.000  0.000  0.000
H  0.231  0.258  0.495
F  0.013  0.040  0.495



# Ca2DyPb

A geometry-optimized Ca2DyPb structure (PBE, Alexandria via LeMat-Bulk).

Results
**Energy above the most stable polymorph in this dataset**: 33.11 kJ per mole of atoms
**Formation enthalpy at 0 K**: 64 meV per atom

a b c (Å): 12.688 12.688 12.688
angles (deg): 16.48 16.48 16.48
Fractional positions:
Ca  0.087  0.087  0.087
Ca  0.913  0.913  0.913
Dy  0.500  0.500  0.500
Pb  0.000  0.000  0.000



# Li4SnAu7

A geometry-optimized Li4SnAu7 structure (PBE, Alexandria via LeMat-Bulk).

Results
**Formation enthalpy at 0 K**: -299 meV per atom

a b c (Å): 5.954 5.954 9.751
angles (deg): 117.02 117.02 51.22
Fractional positions:
Li  0.092  0.092  0.272
Li  0.267  0.267  0.844
Li  0.733  0.733  0.156
Li  0.908  0.908  0.728
Sn  0.500  0.500  0.500
Au  0.000  0.000  0.500
Au  0.135  0.135  0.018
Au  0.285  0.285  0.587
Au  0.431  0.431  0.167
Au  0.569  0.569  0.833
Au  0.715  0.715  0.413
Au  0.865  0.865  0.982



# TmMg2Ga3

A geometry-optimized TmMg2Ga3 structure (PBE, Alexandria via LeMat-Bulk).

Results
**Formation enthalpy at 0 K**: -312 meV per atom

a b c (Å): 4.770 4.770 6.093
angles (deg): 90.00 90.00 120.00
Fractional positions:
Tm  0.000  0.000  0.000
Mg  0.333  0.667  0.682
Mg  0.667  0.333  0.318
Ga  0.000  0.000  0.500
Ga  0.333  0.667  0.189
Ga  0.667  0.333  0.811